No. 1
Here is a geometry-optimized Th2GeSb structure from Alexandria. Energies are from PBE-GGA.

The spin magnetization comes out at 0.00 Bohr magnetons per cell. The value obtained for the energy is -6.55 eV/atom. The calculation puts the formation energy (no corrections) at -0.652 eV/atom.

a = 5.615 Å, b = 5.615 Å, c = 3.411 Å
α = 90.00°, β = 90.00°, γ = 90.00°
Positions (direct):
Th 0.000 0.500 0.000
Th 0.500 0.000 0.000
Ge 0.000 0.000 0.500
Sb 0.500 0.500 0.500

No. 2
Here is a geometry-optimized Th4Ge3Sb structure from Alexandria. Energies are from PBE-GGA.

The spin magnetization comes out at 0.00 Bohr magnetons per cell. The value obtained for the energy is -6.78 eV/atom. The calculation puts the formation energy (no corrections) at -0.823 eV/atom.

a = 8.728 Å, b = 12.323 Å, c = 4.356 Å
α = 90.00°, β = 90.00°, γ = 90.00°
Positions (direct):
Th 0.000 0.244 0.000
Th 0.000 0.756 0.000
Th 0.237 0.000 0.500
Th 0.263 0.500 0.500
Th 0.500 0.256 0.000
Th 0.500 0.744 0.000
Th 0.737 0.500 0.500
Th 0.763 0.000 0.500
Ge 0.000 0.000 0.000
Ge 0.250 0.250 0.500
Ge 0.250 0.750 0.500
Ge 0.500 0.500 0.000
Ge 0.750 0.250 0.500
Ge 0.750 0.750 0.500
Sb 0.000 0.500 0.000
Sb 0.500 0.000 0.000

No. 3
Here is a geometry-optimized Th2GeSb structure from Alexandria. Energies are from PBE-GGA.

The spin magnetization comes out at 0.00 Bohr magnetons per cell. The value obtained for the energy is -6.77 eV/atom. The calculation puts the formation energy (no corrections) at -0.879 eV/atom.

a = 4.381 Å, b = 4.381 Å, c = 21.858 Å
α = 90.00°, β = 90.00°, γ = 120.00°
Positions (direct):
Th 0.000 0.000 0.243
Th 0.000 0.000 0.757
Th 0.333 0.667 0.424
Th 0.333 0.667 0.910
Th 0.667 0.333 0.090
Th 0.667 0.333 0.576
Ge 0.000 0.000 0.500
Ge 0.333 0.667 0.167
Ge 0.667 0.333 0.833
Sb 0.000 0.000 0.000
Sb 0.333 0.667 0.667
Sb 0.667 0.333 0.333

No. 4
Here is a geometry-optimized Th5GeSb4 structure from Alexandria. Energies are from PBE-GGA.

The spin magnetization comes out at 0.00 Bohr magnetons per cell. The value obtained for the energy is -6.71 eV/atom. The calculation puts the formation energy (no corrections) at -0.888 eV/atom.

a = 7.740 Å, b = 7.740 Å, c = 7.740 Å
α = 99.60°, β = 99.60°, γ = 131.80°
Positions (direct):
Th 0.000 0.000 0.000
Th 0.215 0.598 0.813
Th 0.402 0.215 0.617
Th 0.598 0.785 0.383
Th 0.785 0.402 0.187
Ge 0.500 0.500 0.000
Sb 0.094 0.304 0.398
Sb 0.304 0.906 0.210
Sb 0.696 0.094 0.790
Sb 0.906 0.696 0.602

No. 5
Here is a geometry-optimized Th8Ge3Sb5 structure from Alexandria. Energies are from PBE-GGA.

The spin magnetization comes out at 0.00 Bohr magnetons per cell. The value obtained for the energy is -6.75 eV/atom. The calculation puts the formation energy (no corrections) at -0.884 eV/atom.

a = 8.900 Å, b = 8.900 Å, c = 8.900 Å
α = 59.54°, β = 59.54°, γ = 59.54°
Positions (direct):
Th 0.234 0.750 0.750
Th 0.243 0.243 0.243
Th 0.250 0.250 0.766
Th 0.250 0.766 0.250
Th 0.750 0.234 0.750
Th 0.750 0.750 0.234
Th 0.757 0.757 0.757
Th 0.766 0.250 0.250
Ge 0.000 0.000 0.500
Ge 0.000 0.500 0.000
Ge 0.500 0.000 0.000
Sb 0.000 0.000 0.000
Sb 0.000 0.500 0.500
Sb 0.500 0.000 0.500
Sb 0.500 0.500 0.000
Sb 0.500 0.500 0.500

No. 6
Here is a geometry-optimized Th3GeSb3 structure from Alexandria. Energies are from PBE-GGA.

The spin magnetization comes out at 0.00 Bohr magnetons per cell. The value obtained for the energy is -6.20 eV/atom. The calculation puts the formation energy (no corrections) at -0.590 eV/atom.

a = 8.181 Å, b = 8.181 Å, c = 8.181 Å
α = 67.65°, β = 67.65°, γ = 67.65°
Positions (direct):
Th 0.021 0.442 0.800
Th 0.200 0.979 0.558
Th 0.442 0.800 0.021
Th 0.558 0.200 0.979
Th 0.800 0.021 0.442
Th 0.979 0.558 0.200
Ge 0.159 0.159 0.159
Ge 0.841 0.841 0.841
Sb 0.164 0.677 0.399
Sb 0.323 0.601 0.836
Sb 0.399 0.164 0.677
Sb 0.601 0.836 0.323
Sb 0.677 0.399 0.164
Sb 0.836 0.323 0.601

No. 7
Here is a geometry-optimized Th2GeSb structure from Alexandria. Energies are from PBE-GGA.

The spin magnetization comes out at 0.00 Bohr magnetons per cell. The value obtained for the energy is -6.57 eV/atom. The calculation puts the formation energy (no corrections) at -0.674 eV/atom.

a = 4.278 Å, b = 4.278 Å, c = 23.286 Å
α = 90.00°, β = 90.00°, γ = 120.00°
Positions (direct):
Th 0.000 0.000 0.000
Th 0.000 0.000 0.160
Th 0.333 0.667 0.667
Th 0.333 0.667 0.826
Th 0.667 0.333 0.333
Th 0.667 0.333 0.493
Ge 0.000 0.000 0.412
Ge 0.333 0.667 0.079
Ge 0.667 0.333 0.746
Sb 0.000 0.000 0.581
Sb 0.333 0.667 0.248
Sb 0.667 0.333 0.914

No. 8
Here is a geometry-optimized ThGe2Sb structure from Alexandria. Energies are from PBE-GGA.

The spin magnetization comes out at 0.00 Bohr magnetons per cell. The value obtained for the energy is -5.65 eV/atom. The calculation puts the formation energy (no corrections) at -0.452 eV/atom.

a = 4.645 Å, b = 4.645 Å, c = 4.307 Å
α = 90.00°, β = 90.00°, γ = 90.00°
Positions (direct):
Th 0.000 0.000 0.000
Ge 0.000 0.500 0.500
Ge 0.500 0.000 0.500
Sb 0.500 0.500 0.000

energy of number 8 (ThGe2Sb)?
-5.65 eV/atom